Record 1
# GGA-PBE LiSc4In5, relaxed
data_LiSc4In5
_chemical_formula_sum 'Li1 Sc4 In5'
_space_group_name_H-M_alt 'P 4/m m m'
_space_group_IT_number 123
_space_group_name_Hall '-P 4 2'
_cell_length_a 3.3443
_cell_length_b 3.3443
_cell_length_c 19.5171
_cell_angle_alpha 90.00
_cell_angle_beta 90.00
_cell_angle_gamma 90.00
loop_
_atom_site_label
_atom_site_type_symbol
_atom_site_fract_x
_atom_site_fract_y
_atom_site_fract_z
Li1 Li 0.0000 0.0000 0.0000
Sc1 Sc 0.0000 0.0000 0.1860
Sc2 Sc 0.0000 0.0000 0.3956
In1 In 0.5000 0.5000 0.0829
In2 In 0.5000 0.5000 0.2907
In3 In 0.5000 0.5000 0.5000
# Calculated total energy = -4.50 eV/atom
# D(E_F) = 5.1 states/eV/f.u.
# V = 21.8 A^3/atom
# M_tot = 1.06 μB/cell

***

Record 2
# GGA-PBE Th2Ga12Cu, relaxed
data_Th2Ga12Cu
_chemical_formula_sum 'Th4 Ga24 Cu2'
_space_group_name_H-M_alt 'P 4/n b m'
_space_group_IT_number 125
_cell_length_a 6.1901
_cell_length_b 6.1901
_cell_length_c 15.2271
_cell_angle_alpha 90.00
_cell_angle_beta 90.00
_cell_angle_gamma 90.00
loop_
_space_group_symop_operation_xyz
'x,y,z'
'-x,-y,-z'
'-y+1/2,x,z'
'y+1/2,-x,-z'
'-x+1/2,-y+1/2,z'
'x+1/2,y+1/2,-z'
'y,-x+1/2,z'
'-y,x+1/2,-z'
'x,-y+1/2,-z'
'-x,y+1/2,z'
'-y+1/2,-x+1/2,-z'
'y+1/2,x+1/2,z'
'-x+1/2,y,-z'
'x+1/2,-y,z'
'y,x,-z'
'-y,-x,z'
loop_
_atom_site_label
_atom_site_type_symbol
_atom_site_fract_x
_atom_site_fract_y
_atom_site_fract_z
Th1 Th 0.2500 0.7500 0.2453
Ga1 Ga 0.0006 0.5006 0.0863
Ga2 Ga 0.0783 0.5783 0.5720
Ga3 Ga 0.2500 0.2500 0.1804
Ga4 Ga 0.2500 0.2500 0.3416
Cu1 Cu 0.2500 0.7500 0.0000
# Calculated total energy = -3.99 eV/atom
# D(E_F) = 3.5 states/eV/f.u.
# V = 19.4 A^3/atom
# M_tot = 0.00 μB/cell

***

Record 3
# GGA-PBE Hf2MgPd8, relaxed
data_Hf2MgPd8
_chemical_formula_sum 'Hf4 Mg2 Pd16'
_space_group_name_H-M_alt 'I m m m'
_space_group_IT_number 71
_space_group_name_Hall '-I 2 2'
_cell_length_a 4.5136
_cell_length_b 5.9876
_cell_length_c 13.6091
_cell_angle_alpha 90.00
_cell_angle_beta 90.00
_cell_angle_gamma 90.00
loop_
_atom_site_label
_atom_site_type_symbol
_atom_site_fract_x
_atom_site_fract_y
_atom_site_fract_z
Hf1 Hf 0.0000 0.0000 0.1884
Mg1 Mg 0.0000 0.0000 0.5000
Pd1 Pd 0.0000 0.2326 0.0000
Pd2 Pd 0.0000 0.2669 0.3578
Pd3 Pd 0.0000 0.5000 0.1766
# Calculated total energy = -6.36 eV/atom
# D(E_F) = 3.9 states/eV/f.u.
# V = 16.7 A^3/atom
# M_tot = 0.00 μB/cell

***

Record 4
# GGA-PBE Ba4CdAu, relaxed
data_Ba4CdAu
_chemical_formula_sum 'Ba4 Cd1 Au1'
_space_group_name_H-M_alt 'P 4/m m m'
_space_group_IT_number 123
_space_group_name_Hall '-P 4 2'
_cell_length_a 4.1975
_cell_length_b 4.1975
_cell_length_c 15.1224
_cell_angle_alpha 90.00
_cell_angle_beta 90.00
_cell_angle_gamma 90.00
loop_
_atom_site_label
_atom_site_type_symbol
_atom_site_fract_x
_atom_site_fract_y
_atom_site_fract_z
Ba1 Ba 0.0000 0.0000 0.1233
Ba2 Ba 0.5000 0.5000 0.3631
Cd1 Cd 0.0000 0.0000 0.5000
Au1 Au 0.5000 0.5000 0.0000
# Calculated total energy = -2.33 eV/atom
# D(E_F) = 7.2 states/eV/f.u.
# Energy relative to the lowest polymorph listed for this composition = 0.0 meV per atom
# V = 44.4 A^3/atom
# M_tot = 0.00 μB/cell